A plane-wave DFT calculation with PBE-GGA was carried out for an optimized crystal structure of SrHfIn2.

Computed properties:
Volume, Å³/cell: 108.4
Uncorrected energy, eV/atom: -3.88

extended XYZ file:
```
4
Lattice="0.000 3.785 3.785 3.785 0.000 3.785 3.785 3.785 0.000" Properties=species:S:1:pos:R:3 pbc="T T T"
Sr 0.000 0.000 0.000
Hf 1.892 1.892 1.892
In 3.785 3.785 3.785
In 5.677 5.677 5.677
```


A plane-wave DFT calculation with PBE-GGA was carried out for an optimized crystal structure of Y5Te3Pt.

Computed properties:
Volume, Å³/cell: 250.1
Uncorrected energy, eV/atom: -5.96

extended XYZ file:
```
9
Lattice="8.361 0.000 0.000 -4.181 7.241 0.000 0.000 0.000 4.130" Properties=species:S:1:pos:R:3 pbc="T T T"
Y -2.802 4.852 0.000
Y 1.379 2.389 0.000
Y 0.000 4.827 2.065
Y 4.181 2.414 2.065
Y 5.603 0.000 0.000
Te -1.171 2.028 2.065
Te 2.342 0.000 2.065
Te 3.010 5.213 2.065
Pt 0.000 0.000 0.000
```


A plane-wave DFT calculation with PBE-GGA was carried out for an optimized crystal structure of Sm3GdEr2CoTe2.

Computed properties:
Volume, Å³/cell: 244.2
Uncorrected energy, eV/atom: -5.29

extended XYZ file:
```
9
Lattice="3.974 0.000 0.000 0.000 7.318 4.198 0.000 -7.318 4.198" Properties=species:S:1:pos:R:3 pbc="T T T"
Sm 0.000 0.000 0.000
Sm 0.000 -2.956 5.074
Sm 0.000 2.956 5.074
Gd 1.987 0.000 5.336
Er 1.987 -1.696 2.404
Er 1.987 1.696 2.404
Co 0.000 0.000 3.326
Te 1.987 -4.868 3.381
Te 1.987 4.868 3.381
```


Question: What is the volume in the second record?
Answer: 250.1 Å³/cell